## NaCdTe2N (PBE-GGA)

Data for a geometry-optimized NaCdTe2N structure.

Output
The value obtained for the density of states at the Fermi level is 1.03 states/eV per atom. The energy relative to the lowest polymorph listed for this composition comes out at 413 meV per atom. The calculation puts the uncorrected formation energy at 101.1 kJ/mol of atoms. Its volume is 28.29 A^3/atom.

Cell lengths 5.6654, 5.6654, 4.4064 Å; angles 90.00, 90.00, 90.00 degrees
With the nearest neighbours (Å) after each atom.
Element x y z (fractional)
Na1 0.0000 0.0000 0.0000  2 N 2.20
N1 0.0000 0.0000 0.5000  2 Na 2.20
Te1 0.0000 0.5000 0.0000  2 Na 2.83
Te2 0.5000 0.0000 0.0000  2 Na 2.83
Cd1 0.5000 0.5000 0.5000  8 Te 3.59, 4 N 4.01


## NaCdTeN2 (PBE-GGA)

Data for a geometry-optimized NaCdTeN2 structure.

Output
The value obtained for the density of states at the Fermi level is 0.48 states/eV per atom. The energy relative to the lowest polymorph listed for this composition comes out at 0 meV per atom. The calculation puts the uncorrected formation energy at 126.1 kJ/mol of atoms. Its volume is 24.79 A^3/atom.

Cell lengths 4.5387, 4.5387, 6.0183 Å; angles 90.00, 90.00, 90.00 degrees
With the nearest neighbours (Å) after each atom.
Element x y z (fractional)
Na1 0.5000 0.5000 0.5000  4 Te 3.21
N1 0.0000 0.5000 0.0000  2 Cd 2.27
N2 0.5000 0.0000 0.0000  2 Cd 2.27
Te1 0.0000 0.0000 0.5000  2 Cd 3.01, 4 Na 3.21
Cd1 0.0000 0.0000 0.0000  4 N 2.27


## NaCdTeN2 (PBE-GGA)

Data for a geometry-optimized NaCdTeN2 structure.

Output
The value obtained for the density of states at the Fermi level is 0.55 states/eV per atom. The energy relative to the lowest polymorph listed for this composition comes out at 340 meV per atom. The calculation puts the uncorrected formation energy at 158.9 kJ/mol of atoms. Its volume is 25.35 A^3/atom.

Cell lengths 4.4969, 4.4969, 6.2686 Å; angles 90.00, 90.00, 90.00 degrees
With the nearest neighbours (Å) after each atom.
Element x y z (fractional)
Na1 0.0000 0.0000 0.0000  4 N 2.25
N1 0.0000 0.5000 0.0000  2 Na 2.25
N2 0.5000 0.0000 0.0000  2 Na 2.25
Te1 0.0000 0.0000 0.5000  2 Na 3.13, 4 Cd 3.18
Cd1 0.5000 0.5000 0.5000  4 Te 3.18


## Na2TlCdN (PBE-GGA)

Data for a geometry-optimized Na2TlCdN structure.

Output
The value obtained for the density of states at the Fermi level is 0.42 states/eV per atom. The calculation puts the uncorrected formation energy at 51.3 kJ/mol of atoms. Its volume is 28.55 A^3/atom.

Cell lengths 5.9895, 5.9895, 3.9789 Å; angles 90.00, 90.00, 90.00 degrees
With the nearest neighbours (Å) after each atom.
Element x y z (fractional)
Na1 0.0000 0.5000 0.0000  2 Cd 2.99
Na2 0.5000 0.0000 0.0000  2 Cd 2.99
Tl1 0.5000 0.5000 0.5000  8 Na 3.60, 2 Tl 3.98
N1 0.0000 0.0000 0.5000  2 Cd 1.99
Cd1 0.0000 0.0000 0.0000  2 N 1.99


## NbCdN2 (PBE-GGA)

Data for a geometry-optimized NbCdN2 structure.

Output
The value obtained for the density of states at the Fermi level is 0.53 states/eV per atom. The calculation puts the uncorrected formation energy at -23.6 kJ/mol of atoms. Its volume is 15.77 A^3/atom.

Cell lengths 5.0881, 5.0881, 6.0575 Å; angles 65.17, 65.17, 90.00 degrees
With the nearest neighbours (Å) after each atom.
Element x y z (fractional)
Nb1 0.5000 0.5000 0.0000  4 N 2.00
Nb2 0.2500 0.7500 0.5000  4 N 2.00
N1 0.5604 0.1250 0.2500  2 Nb 2.00
N2 0.1896 0.6250 0.2500  2 Nb 2.00
N3 0.3750 0.4396 0.7500  2 Nb 2.00
N4 0.8750 0.8104 0.7500  2 Nb 2.00
Cd1 0.0000 0.0000 0.0000  4 N 2.38
Cd2 0.7500 0.2500 0.5000  4 N 2.38


## Nb2CdN (PBE-GGA)

Data for a geometry-optimized Nb2CdN structure.

Output
The value obtained for the density of states at the Fermi level is 2.33 states/eV per atom. The energy relative to the lowest polymorph listed for this composition comes out at 1214 meV per atom. The calculation puts the uncorrected formation energy at 101.4 kJ/mol of atoms. Its volume is 15.70 A^3/atom.

Cell lengths 4.4617, 4.4617, 4.4617 Å; angles 60.00, 60.00, 60.00 degrees
With the nearest neighbours (Å) after each atom.
Element x y z (fractional)
Nb1 0.2500 0.2500 0.2500  4 Cd 2.73, 4 N 2.73
Nb2 0.7500 0.7500 0.7500  4 Cd 2.73, 4 N 2.73
N1 0.0000 0.0000 0.0000  8 Nb 2.73
Cd1 0.5000 0.5000 0.5000  8 Nb 2.73


## Nb2CdN (PBE-GGA)

Data for a geometry-optimized Nb2CdN structure.

Output
The value obtained for the density of states at the Fermi level is 1.03 states/eV per atom. The energy relative to the lowest polymorph listed for this composition comes out at 368 meV per atom. The calculation puts the uncorrected formation energy at 19.9 kJ/mol of atoms. Its volume is 20.06 A^3/atom.

Cell lengths 5.4139, 5.4139, 6.6813 Å; angles 66.10, 66.10, 90.00 degrees
With the nearest neighbours (Å) after each atom.
Element x y z (fractional)
Nb1 0.4895 0.1250 0.2500  2 N 2.02
Nb2 0.2605 0.6250 0.2500  2 N 2.02
Nb3 0.3750 0.5105 0.7500  2 N 2.02
Nb4 0.8750 0.7395 0.7500  2 N 2.02
N1 0.5000 0.5000 0.0000  4 Nb 2.02
N2 0.2500 0.7500 0.5000  4 Nb 2.02
Cd1 0.0000 0.0000 0.0000  4 Nb 2.84
Cd2 0.7500 0.2500 0.5000  4 Nb 2.84


## NbCdN2 (PBE-GGA)

Data for a geometry-optimized NbCdN2 structure.

Output
The value obtained for the density of states at the Fermi level is 0.47 states/eV per atom. The calculation puts the uncorrected formation energy at -27.0 kJ/mol of atoms. Its volume is 14.48 A^3/atom.

Cell lengths 6.9825, 6.9825, 6.9825 Å; angles 26.07, 26.07, 26.07 degrees
With the nearest neighbours (Å) after each atom.
Element x y z (fractional)
Nb1 0.5000 0.5000 0.5000  6 N 2.13
N1 0.8881 0.8881 0.8881  3 Nb 2.13, 1 Cd 2.26
N2 0.1119 0.1119 0.1119  3 Nb 2.13, 1 Cd 2.26
Cd1 0.0000 0.0000 0.0000  2 N 2.26


## Nb2CdN (PBE-GGA)

Data for a geometry-optimized Nb2CdN structure.

Output
The value obtained for the density of states at the Fermi level is 0.71 states/eV per atom. The energy relative to the lowest polymorph listed for this composition comes out at 0 meV per atom. The calculation puts the uncorrected formation energy at -15.7 kJ/mol of atoms. Its volume is 17.64 A^3/atom.

Cell lengths 3.1487, 3.1487, 8.4165 Å; angles 79.22, 79.22, 60.00 degrees
With the nearest neighbours (Å) after each atom.
Element x y z (fractional)
Nb1 0.1194 0.1194 0.6419  3 N 2.16
Nb2 0.8806 0.8806 0.3581  3 N 2.16
N1 0.5000 0.5000 0.5000  6 Nb 2.16
Cd1 0.0000 0.0000 0.0000  2 Nb 2.94, 6 Cd 3.15


## Nb2Cd2N (PBE-GGA)

Data for a geometry-optimized Nb2Cd2N structure.

Output
The value obtained for the density of states at the Fermi level is 0.64 states/eV per atom. The calculation puts the uncorrected formation energy at -20.2 kJ/mol of atoms. Its volume is 17.70 A^3/atom.

Cell lengths 5.7701, 5.7701, 5.3158 Å; angles 90.00, 90.00, 90.00 degrees
With the nearest neighbours (Å) after each atom.
Element x y z (fractional)
Nb1 0.3264 0.8264 0.0000  2 N 2.13
Nb2 0.8264 0.6736 0.0000  2 N 2.13
Nb3 0.6736 0.1736 0.0000  2 N 2.13
Nb4 0.1736 0.3264 0.0000  2 N 2.13
N1 0.0000 0.0000 0.0000  4 Nb 2.13
N2 0.5000 0.5000 0.0000  4 Nb 2.13
Cd1 0.1670 0.6670 0.5000  5 Cd 2.72-3.04, 2 Nb 2.96
Cd2 0.6670 0.8330 0.5000  5 Cd 2.72-3.04, 2 Nb 2.96
Cd3 0.8330 0.3330 0.5000  5 Cd 2.72-3.04, 2 Nb 2.96
Cd4 0.3330 0.1670 0.5000  5 Cd 2.72-3.04, 2 Nb 2.96


## NbCd2N (PBE-GGA)

Data for a geometry-optimized NbCd2N structure.

Output
The value obtained for the density of states at the Fermi level is 0.37 states/eV per atom. The calculation puts the uncorrected formation energy at 42.9 kJ/mol of atoms. Its volume is 19.15 A^3/atom.

Cell lengths 8.6148, 8.6148, 6.4317 Å; angles 47.96, 47.96, 90.00 degrees
With the nearest neighbours (Å) after each atom.
Element x y z (fractional)
Nb1 0.0000 0.0000 0.0000  2 N 2.06
Nb2 0.7500 0.2500 0.5000  2 N 2.06
N1 0.5000 0.5000 0.0000  2 Nb 2.06
N2 0.2500 0.7500 0.5000  2 Nb 2.06
Cd1 0.5183 0.1250 0.2500  2 N 2.54, 2 Cd 2.76
Cd2 0.2317 0.6250 0.2500  2 N 2.54, 2 Cd 2.76
Cd3 0.3750 0.4817 0.7500  2 N 2.54, 2 Cd 2.76
Cd4 0.8750 0.7683 0.7500  2 N 2.54, 2 Cd 2.76


## NbCdNiN2 (PBE-GGA)

Data for a geometry-optimized NbCdNiN2 structure.

Output
The value obtained for the density of states at the Fermi level is 0.70 states/eV per atom. The calculation puts the uncorrected formation energy at 238.0 kJ/mol of atoms. Its volume is 17.67 A^3/atom.

Cell lengths 4.0136, 5.4852, 4.0136 Å; angles 90.00, 90.00, 90.00 degrees
With the nearest neighbours (Å) after each atom.
Element x y z (fractional)
Ni1 0.5000 0.5000 0.5000  4 Nb 2.84
Nb1 0.0000 0.5000 0.0000  2 Cd 2.74, 4 Ni 2.84
N1 0.0000 0.0000 0.5000  2 Cd 2.01
N2 0.5000 0.0000 0.0000  2 Cd 2.01
Cd1 0.0000 0.0000 0.0000  4 N 2.01